Entry 1:
Ca8Cd | GGA-PBEsol | relaxed

```
data_Ca8Cd
_chemical_formula_sum 'Ca16 Cd2'
_space_group_name_H-M_alt 'I 4/m m m'
_space_group_IT_number 139
_space_group_name_Hall '-I 4 2'
_cell_length_a 11.3791
_cell_length_b 11.3791
_cell_length_c 5.0742
_cell_angle_alpha 90.00
_cell_angle_beta 90.00
_cell_angle_gamma 90.00
loop_
_atom_site_label
_atom_site_type_symbol
_atom_site_fract_x
_atom_site_fract_y
_atom_site_fract_z
_atom_site_occupancy
Ca1 Ca 0.0000 0.3273 0.0000 1
Ca2 Ca 0.1570 0.1570 0.5000 1
Cd1 Cd 0.0000 0.0000 0.0000 1
```

Output
Total energy, eV per atom: -2.07



Entry 2:
Ca2Cd | GGA-PBEsol | relaxed

```
data_Ca2Cd
_chemical_formula_sum 'Ca4 Cd2'
_space_group_name_H-M_alt 'P 63/m m c'
_space_group_IT_number 194
_space_group_name_Hall '-P 6c 2c'
_cell_length_a 5.5352
_cell_length_b 5.5352
_cell_length_c 6.8726
_cell_angle_alpha 90.00
_cell_angle_beta 90.00
_cell_angle_gamma 120.00
loop_
_atom_site_label
_atom_site_type_symbol
_atom_site_fract_x
_atom_site_fract_y
_atom_site_fract_z
_atom_site_occupancy
Ca1 Ca 0.0000 0.0000 0.0000 1
Ca2 Ca 0.3333 0.6667 0.2500 1
Cd1 Cd 0.3333 0.6667 0.7500 1
```

Output
Total energy, eV per atom: -2.04



Entry 3:
CaCd3 | GGA-PBEsol | relaxed

```
data_CaCd3
_chemical_formula_sum 'Ca1 Cd3'
_space_group_name_H-M_alt 'P m -3 m'
_space_group_IT_number 221
_space_group_name_Hall '-P 4 2 3'
_cell_length_a 4.5441
_cell_length_b 4.5441
_cell_length_c 4.5441
_cell_angle_alpha 90.00
_cell_angle_beta 90.00
_cell_angle_gamma 90.00
loop_
_atom_site_label
_atom_site_type_symbol
_atom_site_fract_x
_atom_site_fract_y
_atom_site_fract_z
_atom_site_occupancy
Ca1 Ca 0.0000 0.0000 0.0000 1
Cd1 Cd 0.0000 0.5000 0.5000 1
```

Output
Total energy, eV per atom: -1.67



Entry 4:
CaCd3 | GGA-PBEsol | relaxed

```
data_CaCd3
_chemical_formula_sum 'Ca1 Cd3'
_space_group_name_H-M_alt 'P 1 2/m 1'
_space_group_IT_number 10
_space_group_name_Hall '-P 2y'
_cell_length_a 3.3740
_cell_length_b 4.9281
_cell_length_c 5.8511
_cell_angle_alpha 90.00
_cell_angle_beta 92.93
_cell_angle_gamma 90.00
loop_
_atom_site_label
_atom_site_type_symbol
_atom_site_fract_x
_atom_site_fract_y
_atom_site_fract_z
_atom_site_occupancy
Ca1 Ca 0.0000 0.0000 0.0000 1
Cd1 Cd 0.4700 0.5000 0.7512 1
Cd2 Cd 0.5000 0.0000 0.5000 1
```

Output
Total energy, eV per atom: -1.64



Entry 5:
Ca2Cd | GGA-PBEsol | relaxed

```
data_Ca2Cd
_chemical_formula_sum 'Ca8 Cd4'
_space_group_name_H-M_alt 'I 41/a m d'
_space_group_IT_number 141
_cell_length_a 3.6660
_cell_length_b 3.6660
_cell_length_c 28.8230
_cell_angle_alpha 90.00
_cell_angle_beta 90.00
_cell_angle_gamma 90.00
loop_
_space_group_symop_operation_xyz
'x,y,z'
'-x,-y,-z'
'-y+1/4,x+3/4,z+1/4'
'y+1/4,-x+3/4,-z+1/4'
'-x+1/2,-y,z+1/2'
'x+1/2,y,-z+1/2'
'y+1/4,-x+1/4,z+3/4'
'-y+1/4,x+1/4,-z+3/4'
'x,-y,-z'
'-x,y,z'
'-y+1/4,-x+1/4,-z+3/4'
'y+1/4,x+1/4,z+3/4'
'-x+1/2,y,-z+1/2'
'x+1/2,-y,z+1/2'
'y+1/4,x+3/4,-z+1/4'
'-y+1/4,-x+3/4,z+1/4'
'x+1/2,y+1/2,z+1/2'
'-x+1/2,-y+1/2,-z+1/2'
'-y+3/4,x+1/4,z+3/4'
'y+3/4,-x+1/4,-z+3/4'
'-x,-y+1/2,z'
'x,y+1/2,-z'
'y+3/4,-x+3/4,z+1/4'
'-y+3/4,x+3/4,-z+1/4'
'x+1/2,-y+1/2,-z+1/2'
'-x+1/2,y+1/2,z+1/2'
'-y+3/4,-x+3/4,-z+1/4'
'y+3/4,x+3/4,z+1/4'
'-x,y+1/2,-z'
'x,-y+1/2,z'
'y+3/4,x+1/4,-z+3/4'
'-y+3/4,-x+1/4,z+3/4'
loop_
_atom_site_label
_atom_site_type_symbol
_atom_site_fract_x
_atom_site_fract_y
_atom_site_fract_z
_atom_site_occupancy
Ca1 Ca 0.0000 0.2500 0.3084 1
Cd1 Cd 0.0000 0.2500 0.8750 1
```

Output
Total energy, eV per atom: -1.99



Entry 6:
Ca2Cd | GGA-PBEsol | relaxed

```
data_Ca2Cd
_chemical_formula_sum 'Ca8 Cd4'
_space_group_name_H-M_alt 'C 1 2/m 1'
_space_group_IT_number 12
_space_group_name_Hall '-C 2y'
_cell_length_a 12.6676
_cell_length_b 4.0164
_cell_length_c 9.0359
_cell_angle_alpha 90.00
_cell_angle_beta 122.42
_cell_angle_gamma 90.00
loop_
_atom_site_label
_atom_site_type_symbol
_atom_site_fract_x
_atom_site_fract_y
_atom_site_fract_z
_atom_site_occupancy
Ca1 Ca 0.0916 0.0000 0.3657 1
Ca2 Ca 0.1631 0.5000 0.0645 1
Cd1 Cd 0.1264 0.5000 0.6698 1
```

Output
Total energy, eV per atom: -2.04



Entry 7:
Ca2Cd | GGA-PBEsol | relaxed

```
data_Ca2Cd
_chemical_formula_sum 'Ca8 Cd4'
_space_group_name_H-M_alt 'C m c m'
_space_group_IT_number 63
_space_group_name_Hall '-C 2c 2'
_cell_length_a 3.8159
_cell_length_b 17.4982
_cell_length_c 5.5937
_cell_angle_alpha 90.00
_cell_angle_beta 90.00
_cell_angle_gamma 90.00
loop_
_atom_site_label
_atom_site_type_symbol
_atom_site_fract_x
_atom_site_fract_y
_atom_site_fract_z
_atom_site_occupancy
Ca1 Ca 0.0000 0.0774 0.2500 1
Ca2 Ca 0.0000 0.2174 0.7500 1
Cd1 Cd 0.0000 0.4281 0.2500 1
```

Output
Total energy, eV per atom: -2.03



Entry 8:
Ca3Cd2 | GGA-PBEsol | relaxed

```
data_Ca3Cd2
_chemical_formula_sum 'Ca3 Cd2'
_space_group_name_H-M_alt 'P -3 m 1'
_space_group_IT_number 164
_space_group_name_Hall '-P 3 2"'
_cell_length_a 5.2914
_cell_length_b 5.2914
_cell_length_c 6.4300
_cell_angle_alpha 90.00
_cell_angle_beta 90.00
_cell_angle_gamma 120.00
loop_
_atom_site_label
_atom_site_type_symbol
_atom_site_fract_x
_atom_site_fract_y
_atom_site_fract_z
_atom_site_occupancy
Ca1 Ca 0.0000 0.0000 0.0000 1
Ca2 Ca 0.3333 0.6667 0.3412 1
Cd1 Cd 0.3333 0.6667 0.8551 1
```

Output
Total energy, eV per atom: -1.99



Entry 9:
CaCd3 | GGA-PBEsol | relaxed

```
data_CaCd3
_chemical_formula_sum 'Ca1 Cd3'
_space_group_name_H-M_alt 'P 4/m m m'
_space_group_IT_number 123
_space_group_name_Hall '-P 4 2'
_cell_length_a 3.4273
_cell_length_b 3.4273
_cell_length_c 7.8982
_cell_angle_alpha 90.00
_cell_angle_beta 90.00
_cell_angle_gamma 90.00
loop_
_atom_site_label
_atom_site_type_symbol
_atom_site_fract_x
_atom_site_fract_y
_atom_site_fract_z
_atom_site_occupancy
Ca1 Ca 0.0000 0.0000 0.0000 1
Cd1 Cd 0.0000 0.0000 0.5000 1
Cd2 Cd 0.5000 0.5000 0.2753 1
```

Output
Total energy, eV per atom: -1.64



Entry 10:
Ca4Cd5 | GGA-PBEsol | relaxed

```
data_Ca4Cd5
_chemical_formula_sum 'Ca8 Cd10'
_space_group_name_H-M_alt 'P 63/m c m'
_space_group_IT_number 193
_space_group_name_Hall '-P 6c 2'
_cell_length_a 9.2688
_cell_length_b 9.2688
_cell_length_c 6.4386
_cell_angle_alpha 90.00
_cell_angle_beta 90.00
_cell_angle_gamma 120.00
loop_
_atom_site_label
_atom_site_type_symbol
_atom_site_fract_x
_atom_site_fract_y
_atom_site_fract_z
_atom_site_occupancy
Ca1 Ca 0.0000 0.0000 0.0000 1
Ca2 Ca 0.0000 0.3622 0.2500 1
Cd1 Cd 0.0000 0.3073 0.7500 1
Cd2 Cd 0.3333 0.6667 0.0000 1
```

Output
Total energy, eV per atom: -1.86



Entry 11:
CaCd3 | GGA-PBEsol | relaxed

```
data_CaCd3
_chemical_formula_sum 'Ca4 Cd12'
_space_group_name_H-M_alt 'C m c m'
_space_group_IT_number 63
_space_group_name_Hall '-C 2c 2'
_cell_length_a 6.8588
_cell_length_b 10.9940
_cell_length_c 4.9293
_cell_angle_alpha 90.00
_cell_angle_beta 90.00
_cell_angle_gamma 90.00
loop_
_atom_site_label
_atom_site_type_symbol
_atom_site_fract_x
_atom_site_fract_y
_atom_site_fract_z
_atom_site_occupancy
Ca1 Ca 0.0000 0.1470 0.2500 1
Cd1 Cd 0.0000 0.3300 0.7500 1
Cd2 Cd 0.2193 0.4130 0.2500 1
```

Output
Total energy, eV per atom: -1.71



Entry 12:
Ca5Cd | GGA-PBEsol | relaxed

```
data_Ca5Cd
_chemical_formula_sum 'Ca10 Cd2'
_space_group_name_H-M_alt 'C 1 2/m 1'
_space_group_IT_number 12
_space_group_name_Hall '-C 2y'
_cell_length_a 13.1635
_cell_length_b 3.9688
_cell_length_c 8.7463
_cell_angle_alpha 90.00
_cell_angle_beta 109.85
_cell_angle_gamma 90.00
loop_
_atom_site_label
_atom_site_type_symbol
_atom_site_fract_x
_atom_site_fract_y
_atom_site_fract_z
_atom_site_occupancy
Ca1 Ca 0.0000 0.0000 0.0000 1
Ca2 Ca 0.1385 0.5000 0.3607 1
Ca3 Ca 0.1667 0.5000 0.7971 1
Cd1 Cd 0.0000 0.0000 0.5000 1
```

Output
Total energy, eV per atom: -2.08



Entry 13:
Ca2Cd | GGA-PBEsol | relaxed

```
data_Ca2Cd
_chemical_formula_sum 'Ca8 Cd4'
_space_group_name_H-M_alt 'C m c 21'
_space_group_IT_number 36
_space_group_name_Hall 'C 2c -2'
_cell_length_a 3.9975
_cell_length_b 13.6780
_cell_length_c 7.2704
_cell_angle_alpha 90.00
_cell_angle_beta 90.00
_cell_angle_gamma 90.00
loop_
_atom_site_label
_atom_site_type_symbol
_atom_site_fract_x
_atom_site_fract_y
_atom_site_fract_z
_atom_site_occupancy
Ca1 Ca 0.0000 0.0226 0.0000 1
Ca2 Ca 0.0000 0.2922 0.8035 1
Cd1 Cd 0.0000 0.3825 0.2153 1
```

Output
Total energy, eV per atom: -2.00



Entry 14:
CaCeCd2 | GGA-PBEsol | relaxed

```
data_CaCeCd2
_chemical_formula_sum 'Ca4 Ce4 Cd8'
_space_group_name_H-M_alt 'F m -3 m'
_space_group_IT_number 225
_space_group_name_Hall '-F 4 2 3'
_cell_length_a 7.5160
_cell_length_b 7.5160
_cell_length_c 7.5160
_cell_angle_alpha 90.00
_cell_angle_beta 90.00
_cell_angle_gamma 90.00
loop_
_atom_site_label
_atom_site_type_symbol
_atom_site_fract_x
_atom_site_fract_y
_atom_site_fract_z
_atom_site_occupancy
Ca1 Ca 0.0000 0.0000 0.0000 1
Ce1 Ce 0.0000 0.0000 0.5000 1
Cd1 Cd 0.2500 0.2500 0.2500 1
```

Output
Total energy, eV per atom: -2.99



Number 1: ΔE_f -0.04 eV/atom. Number 2: ΔE_f -0.22 eV/atom. Number 3: ΔE_f -0.24 eV/atom. Number 4: ΔE_f -0.21 eV/atom. Number 5: ΔE_f -0.17 eV/atom. Number 6: ΔE_f -0.22 eV/atom. Number 7: ΔE_f -0.21 eV/atom. Number 8: ΔE_f -0.23 eV/atom. Number 9: ΔE_f -0.21 eV/atom. Number 10: ΔE_f -0.24 eV/atom. Number 11: ΔE_f -0.28 eV/atom. Number 12: ΔE_f -0.10 eV/atom. Number 13: ΔE_f -0.18 eV/atom. Number 14: ΔE_f -0.21 eV/atom.